(1)
Here is a relaxed BaTi2ZnRh crystal from Alexandria. Energies are from GGA-PBE.

Calculated values
Total energy, eV/cell: -25.70
Symmetry: P4/mmm
Formation energy, meV/atom: 127

a = 4.870 Å, b = 4.870 Å, c = 5.071 Å
α = 90.00°, β = 90.00°, γ = 90.00°
Positions (direct):
Ba  0.000  0.000  0.000
Ti  0.000  0.500  0.500
Ti  0.500  0.000  0.500
Zn  0.500  0.500  0.000
Rh  0.500  0.500  0.500

(2)
Here is a relaxed TcRu2Rh crystal from Alexandria. Energies are from GGA-PBE.

Calculated values
Total energy, eV/cell: -36.15
Symmetry: P4mm
Formation energy, meV/atom: 30

a = 2.705 Å, b = 2.705 Å, c = 7.725 Å
α = 90.00°, β = 90.00°, γ = 90.00°
Positions (direct):
Tc  0.000  0.000  0.000
Ru  0.000  0.000  0.506
Ru  0.500  0.500  0.749
Rh  0.500  0.500  0.251